(1)
Sr4Ga | GGA-PBE | relaxed

```
Sr4Ga
1.0
8.348 -7.671 0.000
8.348 7.671 0.000
-6.268 0.000 10.650
Sr Ga
24 6
Direct
0.000 0.500 0.500
0.022 0.562 0.205
0.067 0.842 0.055
0.158 0.933 0.445
0.172 0.227 0.303
0.178 0.822 0.750
0.227 0.172 0.803
0.343 0.375 0.157
0.358 0.631 0.990
0.369 0.642 0.510
0.375 0.343 0.657
0.438 0.978 0.295
0.500 0.000 0.000
0.562 0.022 0.705
0.625 0.657 0.343
0.631 0.358 0.490
0.642 0.369 0.010
0.657 0.625 0.843
0.773 0.828 0.197
0.822 0.178 0.250
0.828 0.773 0.697
0.842 0.067 0.555
0.933 0.158 0.945
0.978 0.438 0.795
0.064 0.229 0.534
0.229 0.064 0.034
0.296 0.704 0.250
0.704 0.296 0.750
0.771 0.936 0.966
0.936 0.771 0.466
```

relative energy among the computed polymorphs = 0.0 meV per atom
E = -2.0697 eV per atom
Fermi-level density of states = 6.5 states/eV/f.u.

(2)
Sr2Ga | GGA-PBE | relaxed

```
Sr2Ga
1.0
-3.944 3.944 3.658
3.944 -3.944 3.658
3.944 3.944 -3.658
Sr Ga
4 2
Direct
0.189 0.689 0.877
0.311 0.189 0.500
0.689 0.811 0.500
0.811 0.311 0.123
0.250 0.250 0.000
0.750 0.750 0.000
```

E = -2.3768 eV per atom
Fermi-level density of states = 3.8 states/eV/f.u.

(3)
Sr8Ga7 | GGA-PBE | relaxed

```
Sr8Ga7
1.0
12.516 0.000 0.000
0.000 12.516 0.000
0.000 0.000 12.516
Sr Ga
32 28
Direct
0.005 0.198 0.942
0.022 0.206 0.437
0.058 0.505 0.302
0.063 0.978 0.706
0.186 0.814 0.314
0.188 0.688 0.812
0.198 0.942 0.005
0.206 0.437 0.022
0.294 0.563 0.522
0.302 0.058 0.505
0.312 0.312 0.312
0.314 0.186 0.814
0.437 0.022 0.206
0.442 0.495 0.802
0.478 0.794 0.937
0.495 0.802 0.442
0.505 0.302 0.058
0.522 0.294 0.563
0.558 0.995 0.698
0.563 0.522 0.294
0.686 0.686 0.686
0.688 0.812 0.188
0.698 0.558 0.995
0.706 0.063 0.978
0.794 0.937 0.478
0.802 0.442 0.495
0.812 0.188 0.688
0.814 0.314 0.186
0.937 0.478 0.794
0.942 0.005 0.198
0.978 0.706 0.063
0.995 0.698 0.558
0.066 0.434 0.566
0.074 0.253 0.693
0.079 0.253 0.186
0.186 0.079 0.253
0.193 0.426 0.747
0.247 0.307 0.574
0.247 0.814 0.579
0.253 0.186 0.079
0.253 0.693 0.074
0.307 0.574 0.247
0.314 0.921 0.753
0.421 0.747 0.686
0.426 0.747 0.193
0.434 0.566 0.066
0.566 0.066 0.434
0.574 0.247 0.307
0.579 0.247 0.814
0.686 0.421 0.747
0.693 0.074 0.253
0.747 0.193 0.426
0.747 0.686 0.421
0.753 0.314 0.921
0.753 0.807 0.926
0.807 0.926 0.753
0.814 0.579 0.247
0.921 0.753 0.314
0.926 0.753 0.807
0.934 0.934 0.934
```

E = -2.7134 eV per atom
Fermi-level density of states = 11.9 states/eV/f.u.

(4)
Sr3Ga | GGA-PBE | relaxed

```
Sr3Ga
1.0
-3.010 3.010 4.251
3.010 -3.010 4.251
3.010 3.010 -4.251
Sr Ga
3 1
Direct
0.000 0.000 0.000
0.250 0.750 0.500
0.750 0.250 0.500
0.500 0.500 0.000
```

E = -2.0229 eV per atom
Fermi-level density of states = 3.2 states/eV/f.u.